Computed, not measured: a geometry-optimized Zr3BeZn structure at the GGA-PBE level of DFT.

Cell and atoms, written as extended XYZ:
```
5
Lattice="-2.1825 -0.7778 -4.0753 3.0828 -3.3857 -1.0048 -2.7766 -3.1478 2.0877" Properties=species:S:1:pos:R:3 pbc="T T T"
Be 0.0000 0.0000 0.0000
Zn -0.9381 -3.6556 -1.4962
Zr -1.0912 -0.3889 -2.0377
Zr 1.5414 -1.6928 -0.5024
Zr -1.3883 -1.5739 1.0439
```

Summary:
SG = No. 221
Total energy = -0.4319 Ry/atom
Magnetization = 0.000 μB/atom


Computed, not measured: a geometry-optimized TbPIrO structure at the GGA-PBE level of DFT.

Cell and atoms, written as extended XYZ:
```
8
Lattice="3.9515 0.0000 0.0000 0.0000 3.9515 0.0000 0.0000 0.0000 8.0954" Properties=species:S:1:pos:R:3 pbc="T T T"
Ir 0.0000 0.0000 4.0477
Ir 1.9757 1.9757 4.0477
O 0.0000 0.0000 0.0000
O 1.9757 1.9757 0.0000
P 1.9757 0.0000 2.7344
P 0.0000 1.9757 5.3610
Tb 0.0000 1.9757 1.1033
Tb 1.9757 0.0000 6.9922
```

Summary:
SG = No. 129
Total energy = -0.5835 Ry/atom
Magnetization = 0.000 μB/atom
E above lowest polymorph = 0 meV per atom


Computed, not measured: a geometry-optimized DyHgB structure at the GGA-PBE level of DFT.

Cell and atoms, written as extended XYZ:
```
3
Lattice="0.0000 3.2598 3.2598 3.2598 0.0000 3.2598 3.2598 3.2598 0.0000" Properties=species:S:1:pos:R:3 pbc="T T T"
B 1.6299 1.6299 1.6299
Dy 0.0000 0.0000 0.0000
Hg 4.8897 4.8897 4.8897
```

Summary:
SG = No. 216
Total energy = -0.2286 Ry/atom
Magnetization = 0.002 μB/atom
E above lowest polymorph = 800 meV per atom